1) {
  "formula": "OsRu2Pt",
  "functional": "PBE",
  "state": "relaxed",
  "spacegroup": "P4mm, No. 99",
  "m_tot_mub_per_cell": 0.0,
  "volume_a3_per_atom": 14.4,
  "cell": [[-0.6376, 0.1147, 2.6407], [2.5739, -0.5911, 0.6472], [1.7268, 7.6138, 0.0864]],
  "species": ["Os", "Pt", "Ru", "Ru"],
  "frac_coords": [[0.0000, 0.0000, 0.4911], [0.5000, 0.5000, 0.7497], [0.0000, 0.0000, 0.0086], [0.5000, 0.5000, 0.2506]]
}


2) {
  "formula": "OsRu2Pt",
  "functional": "PBE",
  "state": "relaxed",
  "spacegroup": "I4/mmm, No. 139",
  "m_tot_mub_per_cell": 0.0,
  "volume_a3_per_atom": 14.4,
  "cell": [[4.7284, 0.0034, 0.0000], [1.5746, 4.4585, 0.0000], [-3.1515, -2.2309, 2.7292]],
  "species": ["Os", "Pt", "Ru", "Ru"],
  "frac_coords": [[0.2500, 0.7500, 0.5000], [0.7500, 0.2500, 0.5000], [0.0000, 0.0000, 0.0000], [0.5000, 0.5000, 0.0000]]
}


Stability order, top to bottom: 2), 1)


1) {
  "formula": "OsRu2Pt",
  "functional": "PBE",
  "state": "relaxed",
  "spacegroup": "Fm-3m, No. 225",
  "m_tot_mub_per_cell": 1.4,
  "volume_a3_per_atom": 14.9,
  "cell": [[0.0000, 3.0993, 3.0993], [3.0993, 0.0000, 3.0993], [3.0993, 3.0993, 0.0000]],
  "species": ["Ru", "Ru", "Os", "Pt"],
  "frac_coords": [[0.2500, 0.2500, 0.2500], [0.7500, 0.7500, 0.7500], [0.0000, 0.0000, 0.0000], [0.5000, 0.5000, 0.5000]]
}


2) {
  "formula": "OsRu2Pt",
  "functional": "PBE",
  "state": "relaxed",
  "spacegroup": "Pmmm, No. 47",
  "m_tot_mub_per_cell": 0.0,
  "volume_a3_per_atom": 14.4,
  "cell": [[2.7243, 0.0000, 0.0000], [0.0000, 3.8582, 0.0000], [0.0000, 0.0000, 5.4850]],
  "species": ["Ru", "Ru", "Os", "Pt"],
  "frac_coords": [[0.0000, 0.0000, 0.0108], [0.0000, 0.0000, 0.4892], [0.5000, 0.5000, 0.2500], [0.5000, 0.5000, 0.7500]]
}


3) {
  "formula": "OsRu2Pt",
  "functional": "PBE",
  "state": "relaxed",
  "spacegroup": "P4/mmm, No. 123",
  "m_tot_mub_per_cell": 0.0,
  "volume_a3_per_atom": 14.4,
  "cell": [[3.8742, 0.0000, 0.0000], [0.0000, 3.8741, 0.0000], [0.0000, 0.0000, 3.8337]],
  "species": ["Os", "Pt", "Ru", "Ru"],
  "frac_coords": [[0.5000, 0.0000, 0.5000], [0.0000, 0.5000, 0.5000], [0.0000, 0.0000, 0.0000], [0.5000, 0.5000, 0.0000]]
}


4) {
  "formula": "OsRu2Pt",
  "functional": "PBE",
  "state": "relaxed",
  "spacegroup": "R3m, No. 160",
  "m_tot_mub_per_cell": 0.0,
  "volume_a3_per_atom": 14.5,
  "cell": [[-7.7549, -4.3190, -2.1451], [-8.0130, -4.3429, 0.5694], [-8.8293, -2.1680, -0.8587]],
  "species": ["Os", "Pt", "Ru", "Ru"],
  "frac_coords": [[0.5039, 0.5039, 0.5039], [0.7498, 0.7498, 0.7498], [0.9963, 0.9963, 0.9963], [0.2501, 0.2501, 0.2501]]
}


Stability order, top to bottom: 2), 4), 3), 1)


1) {
  "formula": "OsRu2Pt",
  "functional": "PBE",
  "state": "relaxed",
  "spacegroup": "F-43m, No. 216",
  "m_tot_mub_per_cell": 1.8,
  "volume_a3_per_atom": 14.9,
  "cell": [[4.3868, 0.0000, 0.0000], [2.1934, 3.7991, 0.0000], [2.1934, 1.2664, 3.5818]],
  "species": ["Os", "Pt", "Ru", "Ru"],
  "frac_coords": [[0.5000, 0.5000, 0.5000], [0.7500, 0.7500, 0.7500], [0.0000, 0.0000, 0.0000], [0.2500, 0.2500, 0.2500]]
}


2) {
  "formula": "OsRu2Pt",
  "functional": "PBE",
  "state": "relaxed",
  "spacegroup": "Pmm2, No. 25",
  "m_tot_mub_per_cell": 0.0,
  "volume_a3_per_atom": 14.4,
  "cell": [[2.7226, 0.0000, 0.0000], [0.0000, 3.8817, 0.0000], [0.0000, 0.0000, 5.4557]],
  "species": ["Os", "Pt", "Ru", "Ru"],
  "frac_coords": [[0.0000, 0.0000, 0.4879], [0.5000, 0.5000, 0.7508], [0.0000, 0.0000, 0.0081], [0.5000, 0.5000, 0.2531]]
}


Stability order, top to bottom: 2), 1)


1) {
  "formula": "OsRu2Pt",
  "functional": "PBE",
  "state": "relaxed",
  "spacegroup": "Cm, No. 8",
  "m_tot_mub_per_cell": 0.0,
  "volume_a3_per_atom": 14.4,
  "cell": [[4.7402, -0.0018, -0.0014], [3.9617, 2.6029, -0.0014], [0.7719, 0.2307, 4.6691]],
  "species": ["Os", "Pt", "Ru", "Ru"],
  "frac_coords": [[0.4966, 0.4966, 0.5129], [0.2493, 0.2493, 0.2498], [0.0038, 0.0038, 0.9893], [0.7503, 0.7503, 0.7479]]
}


2) {
  "formula": "OsRu2Pt",
  "functional": "PBE",
  "state": "relaxed",
  "spacegroup": "R-3m, No. 166",
  "m_tot_mub_per_cell": 0.0,
  "volume_a3_per_atom": 14.5,
  "cell": [[9.1288, 0.0031, 0.0018], [8.7197, 2.7021, 0.0018], [8.7197, 1.3216, 2.3568]],
  "species": ["Ru", "Ru", "Os", "Pt"],
  "frac_coords": [[0.9963, 0.9963, 0.9963], [0.5037, 0.5037, 0.5037], [0.2500, 0.2500, 0.2500], [0.7500, 0.7500, 0.7500]]
}


3) {
  "formula": "OsRu2Pt",
  "functional": "PBE",
  "state": "relaxed",
  "spacegroup": "F222, No. 22",
  "m_tot_mub_per_cell": 0.0,
  "volume_a3_per_atom": 14.4,
  "cell": [[4.7501, -0.0055, -0.0068], [1.6396, 4.4582, 0.0068], [-3.1911, -2.2318, 2.7149]],
  "species": ["Os", "Pt", "Ru", "Ru"],
  "frac_coords": [[0.5000, 0.5000, 0.0000], [0.2500, 0.7500, 0.5000], [0.0000, 0.0000, 0.0000], [0.7500, 0.2500, 0.5000]]
}


Stability order, top to bottom: 2), 1), 3)


1) {
  "formula": "OsRu2Pt",
  "functional": "PBE",
  "state": "relaxed",
  "spacegroup": "C2/m, No. 12",
  "m_tot_mub_per_cell": 0.0,
  "volume_a3_per_atom": 14.4,
  "cell": [[4.7393, -0.0017, -0.0021], [3.9605, 2.6031, -0.0021], [0.7638, 0.2284, 4.6759]],
  "species": ["Os", "Pt", "Ru", "Ru"],
  "frac_coords": [[0.7500, 0.7500, 0.7500], [0.2500, 0.2500, 0.2500], [0.0045, 0.0045, 0.9862], [0.4955, 0.4955, 0.5138]]
}


2) {
  "formula": "OsRu2Pt",
  "functional": "PBE",
  "state": "relaxed",
  "spacegroup": "Cmmm, No. 65",
  "m_tot_mub_per_cell": 0.0,
  "volume_a3_per_atom": 14.4,
  "cell": [[-2.0444, 2.5249, -3.4420], [-2.3293, -4.0818, 0.5615], [-1.6290, 1.1819, 1.8345]],
  "species": ["Os", "Pt", "Ru", "Ru"],
  "frac_coords": [[0.5000, 0.0000, 0.5000], [0.0000, 0.5000, 0.5000], [0.0000, 0.0000, 0.0000], [0.5000, 0.5000, 0.0000]]
}


3) {
  "formula": "OsRu2Pt",
  "functional": "PBE",
  "state": "relaxed",
  "spacegroup": "I-42d, No. 122",
  "m_tot_mub_per_cell": 0.0,
  "volume_a3_per_atom": 21.4,
  "cell": [[5.6489, 0.0000, 0.0000], [0.0000, 5.6489, 0.0000], [2.8244, 2.8244, 5.3729]],
  "species": ["Ru", "Ru", "Ru", "Ru", "Os", "Os", "Pt", "Pt"],
  "frac_coords": [[0.6128, 0.1250, 0.2500], [0.1372, 0.6250, 0.2500], [0.3750, 0.3872, 0.7500], [0.8750, 0.8628, 0.7500], [0.5000, 0.5000, 0.0000], [0.2500, 0.7500, 0.5000], [0.0000, 0.0000, 0.0000], [0.7500, 0.2500, 0.5000]]
}


4) {
  "formula": "OsRu2Pt",
  "functional": "PBE",
  "state": "relaxed",
  "spacegroup": "P2/m, No. 10",
  "m_tot_mub_per_cell": 0.0,
  "volume_a3_per_atom": 14.4,
  "cell": [[-0.6549, -1.2576, 2.3198], [-1.0380, -3.9478, -2.4332], [3.5313, -3.9727, -1.1568]],
  "species": ["Os", "Pt", "Ru", "Ru"],
  "frac_coords": [[0.5000, 0.5000, 0.5000], [0.0000, 0.0000, 0.5000], [0.0000, 0.0000, 0.0000], [0.5000, 0.5000, 0.0000]]
}


Stability order, top to bottom: 1), 2), 4), 3)


1) {
  "formula": "Os2RuPt",
  "functional": "PBE",
  "state": "relaxed",
  "spacegroup": "Cm, No. 8",
  "m_tot_mub_per_cell": 0.0,
  "volume_a3_per_atom": 14.5,
  "cell": [[4.7497, -0.0012, -0.0050], [3.9698, 2.6078, -0.0050], [0.7654, 0.2288, 4.6862]],
  "species": ["Os", "Os", "Pt", "Ru"],
  "frac_coords": [[0.9998, 0.9998, 0.0023], [0.2543, 0.2543, 0.2349], [0.5008, 0.5008, 0.5010], [0.7451, 0.7451, 0.7617]]
}


2) {
  "formula": "Os2RuPt",
  "functional": "PBE",
  "state": "relaxed",
  "spacegroup": "I-4m2, No. 119",
  "m_tot_mub_per_cell": 0.0,
  "volume_a3_per_atom": 14.5,
  "cell": [[4.7439, 0.0025, 0.0005], [1.5948, 4.4678, -0.0005], [-3.1699, -2.2343, 2.7320]],
  "species": ["Os", "Os", "Pt", "Ru"],
  "frac_coords": [[0.0000, 0.0000, 0.0000], [0.7500, 0.2500, 0.5000], [0.5000, 0.5000, 0.0000], [0.2500, 0.7500, 0.5000]]
}


Stability order, top to bottom: 1), 2)